{"formula": "Cs2YUO6", "functional": "PBE-GGA", "state": "relaxed", "lattice_angstrom": [[-0.128, 4.388, -4.497], [-0.272, -4.499, -4.380], [-4.639, 0.019, -4.240]], "species": ["Cs", "Cs", "Y", "U", "O", "O", "O", "O", "O", "O"], "frac_coords": [[0.250, 0.750, 0.500], [0.750, 0.250, 0.500], [0.000, 0.000, 0.000], [0.500, 0.500, 0.000], [0.263, 0.737, 0.000], [0.737, 0.737, 0.000], [0.263, 0.263, 0.474], [0.737, 0.263, 0.000], [0.263, 0.263, 0.000], [0.737, 0.737, 0.526]]}

=====

{"formula": "Cs2U3ZnO12", "functional": "PBE-GGA", "state": "relaxed", "lattice_angstrom": [[7.572, -0.236, -0.168], [3.534, 6.701, -0.168], [3.534, 2.057, 6.380]], "species": ["Cs", "Cs", "U", "U", "U", "Zn", "O", "O", "O", "O", "O", "O", "O", "O", "O", "O", "O", "O"], "frac_coords": [[0.627, 0.627, 0.627], [0.373, 0.373, 0.373], [0.500, 0.000, 0.000], [0.000, 0.500, 0.000], [0.000, 0.000, 0.500], [0.000, 0.000, 0.000], [0.318, 0.318, 0.938], [0.938, 0.938, 0.316], [0.316, 0.938, 0.938], [0.938, 0.318, 0.318], [0.938, 0.316, 0.938], [0.318, 0.938, 0.318], [0.682, 0.682, 0.062], [0.062, 0.062, 0.684], [0.684, 0.062, 0.062], [0.062, 0.682, 0.682], [0.062, 0.684, 0.062], [0.682, 0.062, 0.682]]}

=====

{"formula": "CsUZn2O6", "functional": "PBE-GGA", "state": "relaxed", "lattice_angstrom": [[6.814, -1.065, -1.105], [1.008, 7.094, -0.740], [1.008, -1.003, 7.062]], "species": ["Cs", "Cs", "U", "U", "Zn", "Zn", "Zn", "Zn", "O", "O", "O", "O", "O", "O", "O", "O", "O", "O", "O", "O"], "frac_coords": [[0.250, 0.920, 0.080], [0.750, 0.080, 0.920], [0.250, 0.321, 0.679], [0.750, 0.679, 0.321], [0.250, 0.773, 0.534], [0.250, 0.466, 0.227], [0.750, 0.227, 0.466], [0.750, 0.534, 0.773], [0.251, 0.034, 0.658], [0.249, 0.342, 0.966], [0.749, 0.966, 0.342], [0.751, 0.658, 0.034], [0.441, 0.673, 0.326], [0.059, 0.674, 0.327], [0.559, 0.327, 0.674], [0.941, 0.326, 0.673], [0.249, 0.609, 0.717], [0.251, 0.283, 0.391], [0.751, 0.391, 0.283], [0.749, 0.717, 0.609]]}

=====

{"formula": "CsUZnO4", "functional": "PBE-GGA", "state": "relaxed", "lattice_angstrom": [[-2.798, 0.576, -5.736], [-2.668, -5.386, 4.340], [-1.712, 6.661, 1.504]], "species": ["Cs", "Cs", "U", "U", "Zn", "Zn", "O", "O", "O", "O", "O", "O", "O", "O"], "frac_coords": [[0.829, 0.658, 0.079], [0.171, 0.342, 0.921], [0.500, 0.000, 0.500], [0.500, 0.000, 0.000], [0.500, 0.500, 0.500], [0.000, 0.500, 0.500], [0.690, 0.380, 0.624], [0.296, 0.987, 0.244], [0.692, 0.987, 0.244], [0.690, 0.380, 0.256], [0.310, 0.620, 0.744], [0.704, 0.013, 0.756], [0.308, 0.013, 0.756], [0.310, 0.620, 0.376]]}

=====

{"formula": "Cs2UZnO6", "functional": "PBE-GGA", "state": "relaxed", "lattice_angstrom": [[-4.176, -5.497, 1.059], [-0.049, -1.478, 6.826], [-5.283, -0.984, 4.463]], "species": ["Cs", "Cs", "U", "Zn", "O", "O", "O", "O", "O", "O"], "frac_coords": [[0.251, 0.750, 0.500], [0.749, 0.250, 0.500], [0.500, 0.500, 0.000], [0.000, 0.000, 0.000], [0.240, 0.760, 0.000], [0.672, 0.672, 0.998], [0.240, 0.240, 0.521], [0.760, 0.240, 0.000], [0.328, 0.328, 0.002], [0.760, 0.760, 0.479]]}

=====

{"formula": "Cs2UZn2O6", "functional": "PBE-GGA", "state": "relaxed", "lattice_angstrom": [[6.186, 0.000, 0.000], [3.093, 5.357, 0.000], [3.093, 1.786, 6.402]], "species": ["Cs", "Cs", "U", "Zn", "Zn", "O", "O", "O", "O", "O", "O"], "frac_coords": [[0.789, 0.789, 0.634], [0.211, 0.211, 0.366], [0.000, 0.000, 0.000], [0.398, 0.398, 0.807], [0.602, 0.602, 0.193], [0.777, 0.777, 0.197], [0.248, 0.777, 0.197], [0.777, 0.248, 0.197], [0.223, 0.752, 0.803], [0.752, 0.223, 0.803], [0.223, 0.223, 0.803]]}

=====

{"formula": "Cs2ZrUO6", "functional": "PBE-GGA", "state": "relaxed", "lattice_angstrom": [[6.122, 0.000, 0.000], [0.000, 6.122, 0.000], [-3.061, -3.061, 4.329]], "species": ["Cs", "Cs", "Zr", "U", "O", "O", "O", "O", "O", "O"], "frac_coords": [[0.750, 0.250, 0.500], [0.250, 0.750, 0.500], [0.500, 0.500, 0.000], [0.000, 0.000, 0.000], [0.753, 0.753, 0.000], [0.753, 0.753, 0.506], [0.247, 0.247, 0.000], [0.753, 0.247, 0.000], [0.247, 0.247, 0.494], [0.247, 0.753, 0.000]]}

=====

no.,formation energy from raw total energies (kJ per mole of atoms),magnetic moment (μB/f.u.)
1,-250.8,1.1
2,-242.2,0.0
3,-191.8,0.7
4,-207.9,1.0
5,-184.0,0.7
6,-202.7,0.0
7,-261.9,0.0